# Pr12Zn6Ru

Crystalline Pr12Zn6Ru at its relaxed geometry (PBE, Alexandria via LeMat-Bulk).

Output
ΔH_f (0 K) in meV per atom: -92
V in A^3/atom: 30.043
Total moment in μB per atom: 0.0000
Crystal system: trigonal

```
Pr12Zn6Ru
1.0
8.294 0.359 0.430
-0.903 8.252 0.430
-0.903 -1.052 8.196
Pr Zn Ru
12 6 1
Direct
0.805 0.572 0.456
0.456 0.805 0.572
0.572 0.456 0.805
0.195 0.428 0.544
0.544 0.195 0.428
0.428 0.544 0.195
0.968 0.084 0.323
0.916 0.677 0.032
0.677 0.032 0.916
0.032 0.916 0.677
0.084 0.323 0.968
0.323 0.968 0.084
0.657 0.852 0.260
0.740 0.343 0.148
0.148 0.740 0.343
0.343 0.148 0.740
0.260 0.657 0.852
0.852 0.260 0.657
0.000 0.000 0.000
```

=====

# Pr3Zn3Ru

Crystalline Pr3Zn3Ru at its relaxed geometry (PBE, Alexandria via LeMat-Bulk).

Output
ΔH_f (0 K) in meV per atom: -267
V in A^3/atom: 24.127
Total moment in μB per atom: 0.0000
Crystal system: monoclinic

```
Pr3Zn3Ru
1.0
3.943 0.000 0.594
1.910 5.617 0.706
-0.282 0.581 15.253
Pr Zn Ru
6 6 2
Direct
0.522 0.343 0.612
0.478 0.657 0.388
0.262 0.236 0.240
0.738 0.764 0.760
0.374 0.330 0.923
0.626 0.670 0.077
0.823 0.819 0.535
0.177 0.181 0.465
0.094 0.888 0.924
0.906 0.112 0.076
0.979 0.815 0.227
0.021 0.185 0.773
0.787 0.058 0.367
0.213 0.942 0.633
```

=====

# Pr3ZnRu

Crystalline Pr3ZnRu at its relaxed geometry (PBE, Alexandria via LeMat-Bulk).

Output
Energy relative to the lowest polymorph listed for this composition in meV per atom: 120
ΔH_f (0 K) in meV per atom: -95
V in A^3/atom: 28.721
Total moment in μB per atom: 0.0000
Crystal system: monoclinic

```
Pr3ZnRu
1.0
-2.566 -1.980 4.169
0.579 -7.157 -3.044
6.006 -0.087 3.657
Pr Zn Ru
6 2 2
Direct
0.543 0.954 0.652
0.543 0.343 0.968
0.043 0.188 0.443
0.043 0.658 0.884
0.543 0.510 0.428
0.543 0.910 0.157
0.043 0.762 0.365
0.043 0.120 0.968
0.543 0.666 0.812
0.043 0.431 0.200
```

=====

# Pr4Zn3Ru

Crystalline Pr4Zn3Ru at its relaxed geometry (PBE, Alexandria via LeMat-Bulk).

Output
ΔH_f (0 K) in meV per atom: -241
V in A^3/atom: 24.856
Total moment in μB per atom: 0.0001
Crystal system: tetragonal

```
Pr4Zn3Ru
1.0
-3.441 -0.595 -1.043
0.713 -3.560 -0.321
-3.968 -2.082 14.281
Pr Ru Zn
4 1 3
Direct
0.000 0.000 0.885
0.000 0.000 0.115
0.000 0.000 0.374
0.000 0.000 0.626
0.500 0.500 0.000
0.500 0.500 0.249
0.500 0.500 0.500
0.500 0.500 0.751
```

=====

# Pr3Zn4Ru2

Crystalline Pr3Zn4Ru2 at its relaxed geometry (PBE, Alexandria via LeMat-Bulk).

Output
Energy relative to the lowest polymorph listed for this composition in meV per atom: 0
ΔH_f (0 K) in meV per atom: -265
V in A^3/atom: 21.822
Total moment in μB per atom: 0.0000
Crystal system: monoclinic

```
Pr3Zn4Ru2
1.0
4.068 0.000 1.085
1.648 5.524 1.990
-0.158 0.225 8.760
Pr Zn Ru
3 4 2
Direct
0.311 0.736 0.642
0.000 0.000 0.000
0.689 0.264 0.358
0.279 0.382 0.061
0.721 0.618 0.939
0.029 0.309 0.633
0.971 0.691 0.367
0.392 0.952 0.264
0.608 0.048 0.736
```

=====

# Pr2Zn6Ru

Crystalline Pr2Zn6Ru at its relaxed geometry (PBE, Alexandria via LeMat-Bulk).

Output
ΔH_f (0 K) in meV per atom: -270
V in A^3/atom: 19.160
Total moment in μB per atom: 0.0000
Crystal system: monoclinic

```
Pr2Zn6Ru
1.0
6.090 0.000 0.000
-3.045 4.871 0.676
0.000 -0.341 5.765
Pr Zn Ru
2 6 1
Direct
0.677 0.354 0.155
0.323 0.646 0.845
0.812 0.178 0.673
0.843 0.686 0.661
0.366 0.178 0.673
0.188 0.822 0.327
0.157 0.314 0.339
0.634 0.822 0.327
0.000 0.000 0.000
```

=====

Look up the V of the first one.
30.043 A^3/atom